AsRuPt2 after structural relaxation, computed with PBEsol.

Structure (CIF):
```
data_AsRuPt2
_chemical_formula_sum 'As1 Ru1 Pt2'
_cell_length_a 2.797
_cell_length_b 2.797
_cell_length_c 7.699
_cell_angle_alpha 90.00
_cell_angle_beta 90.00
_cell_angle_gamma 90.00
_space_group_name_H-M_alt 'P 4/m m m'
_space_group_IT_number 123
_space_group_name_Hall '-P 4 2'
loop_
_atom_site_label
_atom_site_type_symbol
_atom_site_fract_x
_atom_site_fract_y
_atom_site_fract_z
As1 As 0.000 0.000 0.000
Ru1 Ru 0.000 0.000 0.500
Pt1 Pt 0.500 0.500 0.260
```

The value obtained for the calculated density is 15.61 Mg/m³. Its formation energy from the elements is 0.12 eV/atom.